[1]
Material: Lu3Sb2Se
Method: DFT, PBE
State: optimized geometry

Cell: 4.220 4.220 10.223 Å, 90.00 90.00 120.00°
Element x y z (fractional)
Lu: 0.000 0.000 0.000
Lu: 0.333 0.667 0.656
Lu: 0.667 0.333 0.344
Sb: 0.333 0.667 0.174
Sb: 0.667 0.333 0.826
Se: 0.000 0.000 0.500

SG: P-3m1 (164)
Crystal system: trigonal



[2]
Material: SmLuSb
Method: DFT, PBE
State: optimized geometry

Cell: 5.215 5.215 5.215 Å, 60.00 60.00 60.00°
Element x y z (fractional)
Sm: 0.000 0.000 0.000
Lu: 0.750 0.750 0.750
Sb: 0.250 0.250 0.250

SG: F-43m (216)
Crystal system: cubic



[3]
Material: LuSnSb
Method: DFT, PBE
State: optimized geometry

Cell: 5.119 5.119 5.119 Å, 60.00 60.00 60.00°
Element x y z (fractional)
Lu: 0.000 0.000 0.000
Sn: 0.250 0.250 0.250
Sb: 0.500 0.500 0.500

SG: F-43m (216)
Crystal system: cubic



[4]
Material: Lu2TaSb
Method: DFT, PBE
State: optimized geometry

Cell: 5.047 5.047 5.047 Å, 60.00 60.00 60.00°
Element x y z (fractional)
Lu: 0.000 0.000 0.000
Lu: 0.250 0.250 0.250
Ta: 0.750 0.750 0.750
Sb: 0.500 0.500 0.500

SG: F-43m (216)
Crystal system: cubic



[5]
Material: LuTaSb
Method: DFT, PBE
State: optimized geometry

Cell: 4.811 4.811 4.811 Å, 60.00 60.00 60.00°
Element x y z (fractional)
Lu: 0.000 0.000 0.000
Ta: 0.250 0.250 0.250
Sb: 0.500 0.500 0.500

SG: F-43m (216)
Energy above the lowest structure with this stoichiometry in meV per atom: 0
Crystal system: cubic



[6]
Material: LuTcSb
Method: DFT, PBE
State: optimized geometry

Cell: 4.590 4.590 4.590 Å, 60.00 60.00 60.00°
Element x y z (fractional)
Lu: 0.000 0.000 0.000
Tc: 0.250 0.250 0.250
Sb: 0.500 0.500 0.500

SG: F-43m (216)
Energy above the lowest structure with this stoichiometry in meV per atom: 0
Crystal system: cubic



[7]
Material: LuSbTe
Method: DFT, PBE
State: optimized geometry

Cell: 5.103 5.103 5.103 Å, 60.00 60.00 60.00°
Element x y z (fractional)
Lu: 0.000 0.000 0.000
Sb: 0.500 0.500 0.500
Te: 0.250 0.250 0.250

SG: F-43m (216)
Crystal system: cubic



[8]
Material: LuTlSbTe3
Method: DFT, PBE
State: optimized geometry

Cell: 7.996 7.996 12.464 Å, 90.00 90.00 149.72°
Element x y z (fractional)
Lu: 0.000 0.000 0.000
Lu: 0.000 0.000 0.500
Tl: 0.292 0.708 0.750
Tl: 0.708 0.292 0.250
Sb: 0.381 0.619 0.250
Sb: 0.619 0.381 0.750
Te: 0.030 0.970 0.250
Te: 0.361 0.639 0.009
Te: 0.361 0.639 0.491
Te: 0.639 0.361 0.509
Te: 0.639 0.361 0.991
Te: 0.970 0.030 0.750

SG: Cmcm (63)
Crystal system: orthorhombic



[9]
Material: LuTlSb
Method: DFT, PBE
State: optimized geometry

Cell: 5.180 5.180 5.180 Å, 60.00 60.00 60.00°
Element x y z (fractional)
Lu: 0.000 0.000 0.000
Tl: 0.500 0.500 0.500
Sb: 0.250 0.250 0.250

SG: F-43m (216)
Energy above the lowest structure with this stoichiometry in meV per atom: 0
Crystal system: cubic



[10]
Material: TmLu2Sb3
Method: DFT, PBE
State: optimized geometry

Cell: 4.314 4.314 10.579 Å, 90.00 90.00 120.00°
Element x y z (fractional)
Tm: 0.000 0.000 0.000
Lu: 0.333 0.667 0.667
Lu: 0.667 0.333 0.333
Sb: 0.000 0.000 0.500
Sb: 0.333 0.667 0.167
Sb: 0.667 0.333 0.833

SG: P-3m1 (164)
Crystal system: trigonal



[11]
Material: Tm2LuSb3
Method: DFT, PBE
State: optimized geometry

Cell: 4.322 4.322 10.599 Å, 90.00 90.00 120.00°
Element x y z (fractional)
Tm: 0.333 0.667 0.167
Tm: 0.667 0.333 0.833
Lu: 0.000 0.000 0.500
Sb: 0.000 0.000 0.000
Sb: 0.333 0.667 0.666
Sb: 0.667 0.333 0.334

SG: P-3m1 (164)
Crystal system: trigonal



[12]
Material: TmLuSb
Method: DFT, PBE
State: optimized geometry

Cell: 4.979 4.979 4.979 Å, 60.00 60.00 60.00°
Element x y z (fractional)
Tm: 0.000 0.000 0.000
Lu: 0.500 0.500 0.500
Sb: 0.250 0.250 0.250

SG: F-43m (216)
Crystal system: cubic



| no. | final energy (eV per formula unit) |
| --- | --- |
| 1 | -32.61 |
| 2 | -13.06 |
| 3 | -12.69 |
| 4 | -24.54 |
| 5 | -18.98 |
| 6 | -19.49 |
| 7 | -12.31 |
| 8 | -23.67 |
| 9 | -11.35 |
| 10 | -32.09 |
| 11 | -32.14 |
| 12 | -14.30 |